Compound: BaMoN2F
Source: Alexandria via LeMat-Bulk
Functional: PBE+U
Structure: relaxed

Values from the calculation:
The calculated density comes out at 6.3 g/cm3. As for the energy above the most stable polymorph in this dataset: 0 meV/atom.

```
BaMoN2F
1.0
-3.0309 2.2349 -1.6738
-0.8553 -3.0947 -2.5834
-2.8141 -1.6438 2.9007
Mo N Ba F
1 2 1 1
direct
0.0000 0.0000 0.0000 Mo
0.0000 0.5000 0.0000 N
0.5000 0.0000 0.0000 N
0.5000 0.5000 0.5000 Ba
0.0000 0.0000 0.5000 F
```